(1)
This record from the Alexandria database describes crystalline ErTh2InN5 at its relaxed geometry. The functional is PBE.

a b c (Å): 3.5695 14.0845 10.9828
angles (deg): 90.00 90.00 90.00
Last column: nearest neighbours and their distance in Å.
Space group Cmc2_1 (No. 36)
Symmetry-distinct sites (fractional):
Er1 0.0000 0.2142 0.0000 [4 per cell]  4 N 2.22-2.40
Th1 0.0000 0.1210 0.7002 [4 per cell]  3 N 2.41-2.43
Th2 0.0000 0.1333 0.2775 [4 per cell]  6 N 2.44-2.51
In1 0.0000 0.4847 0.4858 [4 per cell]  4 N 2.14-2.21
N1 0.0000 0.0589 0.0771 [4 per cell]  2 In 2.14, 1 Er 2.35
N2 0.0000 0.2894 0.6624 [4 per cell]  3 Th 2.41-2.44, 2 Er 2.52
N3 0.0000 0.2987 0.3549 [4 per cell]  2 Er 2.40, 1 Th 2.48
N4 0.0000 0.3665 0.0507 [4 per cell]  1 In 2.21, 1 Er 2.22, 2 Th 2.43
N5 0.0000 0.4913 0.7895 [4 per cell]  1 In 2.18

Properties
* E_form (uncorrected): -0.9857 eV per atom
* total magnetic moment: 0.000 μB/atom
* calculated total energy: -8.071 eV per atom
* crystal system: orthorhombic

=====

(2)
This record from the Alexandria database describes crystalline AuC2 at its relaxed geometry. The functional is PBE.

a b c (Å): 4.2897 4.2897 9.3801
angles (deg): 90.00 90.00 120.00
Last column: nearest neighbours and their distance in Å.
Space group P6_3/mmc (No. 194)
Symmetry-distinct sites (fractional):
Au1 0.3333 0.6667 0.0892 [4 per cell]  3 C 2.24
C1 0.0000 0.0000 0.0000 [2 per cell]  6 C 2.48, 6 Au 2.61
C2 0.1104 0.2209 0.2500 [6 per cell]  2 C 1.42

Properties
* calculated formation energy: 2097 meV per atom
* total magnetic moment: 0.034 μB/atom
* calculated total energy: -5.144 eV per atom
* crystal system: hexagonal

=====

(3)
This record from the Alexandria database describes crystalline Tl2ReHg at its relaxed geometry. The functional is PBE.

a b c (Å): 3.0464 5.0960 5.8512
angles (deg): 90.00 104.90 90.00
Last column: nearest neighbours and their distance in Å.
Space group Pm (No. 6)
Symmetry-distinct sites (fractional):
Tl1 0.0000 0.0000 0.0000 [1 per cell]  3 Re 2.93-3.14, 2 Tl 3.05, 4 Hg 3.14-3.16
Tl2 0.3284 0.5000 0.6531 [1 per cell]  3 Hg 3.02-3.05, 2 Tl 3.05, 4 Re 3.11-3.13
Re1 0.7493 0.0000 0.4819 [1 per cell]  7 Tl 2.93-3.14, 2 Re 3.05, 2 Hg 3.05
Hg1 0.5962 0.5000 0.1864 [1 per cell]  7 Tl 3.02-3.16, 2 Hg 3.05, 2 Re 3.05

Properties
* calculated formation energy: 880 meV per atom
* total magnetic moment: 0.000 μB/atom
* calculated total energy: -3.491 eV per atom
* crystal system: monoclinic

=====

(4)
This record from the Alexandria database describes crystalline Th2TiGa4Pt3 at its relaxed geometry. The functional is PBE.

a b c (Å): 4.1979 4.1979 11.1098
angles (deg): 90.00 90.00 90.00
Last column: nearest neighbours and their distance in Å.
Space group P-4m2 (No. 115)
Symmetry-distinct sites (fractional):
Th1 0.0000 0.5000 0.2454 [2 per cell]  6 Pt 3.21-3.52, 8 Ga 3.23-3.44, 2 Ti 3.52
Ti1 0.0000 0.0000 0.5000 [1 per cell]  4 Ga 2.61
Ga1 0.0000 0.0000 0.0000 [1 per cell]  4 Pt 2.58
Ga2 0.0000 0.5000 0.6402 [2 per cell]  3 Pt 2.50-2.61, 2 Ti 2.61
Ga3 0.5000 0.5000 0.0000 [1 per cell]  4 Pt 2.58
Pt1 0.0000 0.5000 0.8649 [2 per cell]  5 Ga 2.50-2.58
Pt2 0.5000 0.5000 0.5000 [1 per cell]  4 Ga 2.61

Properties
* calculated formation energy: -867 meV per atom
* total magnetic moment: 0.000 μB/atom
* calculated total energy: -6.163 eV per atom
* crystal system: tetragonal

=====

(5)
This record from the Alexandria database describes crystalline Hf2ZrCo at its relaxed geometry. The functional is PBE.

a b c (Å): 6.6694 6.6694 6.6694
angles (deg): 90.00 90.00 90.00
Last column: nearest neighbours and their distance in Å.
Space group Fm-3m (No. 225)
Symmetry-distinct sites (fractional):
Hf1 0.2500 0.2500 0.2500 [8 per cell]  4 Zr 2.89, 4 Co 2.89
Zr1 0.0000 0.0000 0.0000 [4 per cell]  8 Hf 2.89
Co1 0.0000 0.0000 0.5000 [4 per cell]  8 Hf 2.89

Properties
* calculated formation energy: 114 meV per atom
* total magnetic moment: 0.002 μB/atom
* calculated total energy: -8.776 eV per atom
* crystal system: cubic

=====

(6)
This record from the Alexandria database describes crystalline Ba2MgCd7 at its relaxed geometry. The functional is PBE.

a b c (Å): 4.7304 4.7304 13.1055
angles (deg): 90.00 90.00 90.00
Last column: nearest neighbours and their distance in Å.
Space group P-4m2 (No. 115)
Symmetry-distinct sites (fractional):
Ba1 0.0000 0.5000 0.2478 [2 per cell]  14 Cd 3.64-4.06, 2 Mg 4.06
Mg1 0.0000 0.0000 0.5000 [1 per cell]  4 Cd 2.98
Cd1 0.0000 0.0000 0.0000 [1 per cell]  4 Cd 2.98
Cd2 0.0000 0.5000 0.6380 [2 per cell]  3 Cd 2.93-2.98, 2 Mg 2.98
Cd3 0.0000 0.5000 0.8617 [2 per cell]  5 Cd 2.93-2.98
Cd4 0.5000 0.5000 0.0000 [1 per cell]  4 Cd 2.98
Cd5 0.5000 0.5000 0.5000 [1 per cell]  4 Cd 2.98

Properties
* calculated formation energy: -266 meV per atom
* total magnetic moment: 0.000 μB/atom
* calculated total energy: -1.450 eV per atom
* crystal system: tetragonal

=====

(7)
This record from the Alexandria database describes crystalline Tb2Fe3Ge4 at its relaxed geometry. The functional is PBE.

a b c (Å): 5.4764 14.6878 7.3544
angles (deg): 90.00 90.00 90.00
Last column: nearest neighbours and their distance in Å.
Space group Cmce (No. 64)
Symmetry-distinct sites (fractional):
Tb1 0.0000 0.1114 0.0944 [8 per cell]  8 Ge 2.99-3.12, 6 Fe 3.01-3.32
Fe1 0.0000 0.0000 0.5000 [4 per cell]  6 Ge 2.44-2.73
Fe2 0.2500 0.2234 0.7500 [8 per cell]  5 Ge 2.45-2.53, 2 Fe 2.74
Ge1 0.0000 0.1853 0.4740 [8 per cell]  5 Fe 2.51-2.73
Ge2 0.2500 0.0568 0.7500 [8 per cell]  3 Fe 2.44-2.45

Properties
* calculated formation energy: -423 meV per atom
* total magnetic moment: 0.445 μB/atom
* calculated total energy: -6.325 eV per atom
* crystal system: orthorhombic

=====

(8)
This record from the Alexandria database describes crystalline Nd4SmDyTm2 at its relaxed geometry. The functional is PBE.

a b c (Å): 6.2538 3.6225 11.8736
angles (deg): 90.00 100.18 90.00
Last column: nearest neighbours and their distance in Å.
Space group P2/m (No. 10)
Symmetry-distinct sites (fractional):
Nd1 0.2491 0.0000 0.2473 [2 per cell]  1 Dy 3.57, 3 Tm 3.57-3.62, 6 Nd 3.61-3.62, 2 Sm 3.62
Nd2 0.2489 0.5000 0.7497 [2 per cell]  3 Tm 3.59, 1 Sm 3.59, 2 Dy 3.60, 6 Nd 3.61-3.62
Sm1 0.5000 0.5000 0.5000 [1 per cell]  6 Nd 3.59-3.62, 4 Tm 3.61, 2 Sm 3.62
Dy1 0.5000 0.0000 0.0000 [1 per cell]  6 Nd 3.57-3.60, 4 Tm 3.61, 2 Dy 3.62
Tm1 0.0000 0.0000 0.5000 [1 per cell]  6 Nd 3.59-3.62, 4 Sm 3.61, 2 Tm 3.62
Tm2 0.0000 0.5000 0.0000 [1 per cell]  6 Nd 3.57-3.59, 4 Dy 3.61, 2 Tm 3.62

Properties
* calculated formation energy: 16 meV per atom
* total magnetic moment: 0.000 μB/atom
* calculated total energy: -4.651 eV per atom
* crystal system: monoclinic

=====

What did the eighth record say?
This record from the Alexandria database describes crystalline Nd4SmDyTm2 at its relaxed geometry. The functional is PBE.

a b c (Å): 6.2538 3.6225 11.8736
angles (deg): 90.00 100.18 90.00
Last column: nearest neighbours and their distance in Å.
Space group P2/m (No. 10)
Symmetry-distinct sites (fractional):
Nd1 0.2491 0.0000 0.2473 [2 per cell]  1 Dy 3.57, 3 Tm 3.57-3.62, 6 Nd 3.61-3.62, 2 Sm 3.62
Nd2 0.2489 0.5000 0.7497 [2 per cell]  3 Tm 3.59, 1 Sm 3.59, 2 Dy 3.60, 6 Nd 3.61-3.62
Sm1 0.5000 0.5000 0.5000 [1 per cell]  6 Nd 3.59-3.62, 4 Tm 3.61, 2 Sm 3.62
Dy1 0.5000 0.0000 0.0000 [1 per cell]  6 Nd 3.57-3.60, 4 Tm 3.61, 2 Dy 3.62
Tm1 0.0000 0.0000 0.5000 [1 per cell]  6 Nd 3.59-3.62, 4 Sm 3.61, 2 Tm 3.62
Tm2 0.0000 0.5000 0.0000 [1 per cell]  6 Nd 3.57-3.59, 4 Dy 3.61, 2 Tm 3.62

Properties
* calculated formation energy: 16 meV per atom
* total magnetic moment: 0.000 μB/atom
* calculated total energy: -4.651 eV per atom
* crystal system: monoclinic

=====

Q: calculated total energy of number 5 (Hf2ZrCo)?
A: -8.776 eV per atom